# 1
This record from Alexandria describes AuS2NO after structural relaxation. The functional is PBE-GGA.

Results
ΔE_f (raw)   1.973 eV per atom
DFT total energy   -2.991 eV/atom
Energy above the lowest structure with this stoichiometry   1.75 eV/f.u.

```
data_AuS2NO
_chemical_formula_sum 'Au1 S2 N1 O1'
_space_group_name_H-M_alt 'P 4/m m m'
_space_group_IT_number 123
_space_group_name_Hall '-P 4 2'
_cell_length_a 5.068
_cell_length_b 5.068
_cell_length_c 3.747
_cell_angle_alpha 90.00
_cell_angle_beta 90.00
_cell_angle_gamma 90.00
loop_
_atom_site_label
_atom_site_type_symbol
_atom_site_fract_x
_atom_site_fract_y
_atom_site_fract_z
_atom_site_occupancy
Au1 Au 0.000 0.000 0.000 1
S1 S 0.000 0.500 0.000 1
N1 N 0.000 0.000 0.500 1
O1 O 0.500 0.500 0.500 1
```

# 2
This record from Alexandria describes Ba2NCl after structural relaxation. The functional is PBE-GGA.

Results
ΔE_f (raw)   -1.301 eV per atom
DFT total energy   -4.806 eV/atom

```
data_Ba2NCl
_chemical_formula_sum 'Ba6 N3 Cl3'
_space_group_name_H-M_alt 'R -3 m'
_space_group_IT_number 166
_space_group_name_Hall '-R 3 2"'
_cell_length_a 4.1531
_cell_length_b 4.1531
_cell_length_c 23.0431
_cell_angle_alpha 90.00
_cell_angle_beta 90.00
_cell_angle_gamma 120.00
loop_
_atom_site_label
_atom_site_type_symbol
_atom_site_fract_x
_atom_site_fract_y
_atom_site_fract_z
_atom_site_occupancy
Ba1 Ba 0.0000 0.0000 0.2312 1
N1 N 0.0000 0.0000 0.5000 1
Cl1 Cl 0.0000 0.0000 0.0000 1
```

# 3
This record from Alexandria describes MnFe4SiB2 after structural relaxation. The functional is PBE-GGA.

Results
ΔE_f (raw)   -0.364 eV per atom
DFT total energy   -8.089 eV/atom

```
data_MnFe4SiB2
_chemical_formula_sum 'Mn4 Fe16 Si4 B8'
_space_group_name_H-M_alt 'I 4/m c m'
_space_group_IT_number 140
_space_group_name_Hall '-I 4 2c'
_cell_length_a 5.520
_cell_length_b 5.520
_cell_length_c 10.272
_cell_angle_alpha 90.00
_cell_angle_beta 90.00
_cell_angle_gamma 90.00
loop_
_atom_site_label
_atom_site_type_symbol
_atom_site_fract_x
_atom_site_fract_y
_atom_site_fract_z
_atom_site_occupancy
Mn1 Mn 0.000 0.000 0.000 1
Fe1 Fe 0.168 0.332 0.136 1
Si1 Si 0.000 0.000 0.250 1
B1 B 0.120 0.380 0.500 1
```

# 4
This record from Alexandria describes BeInB after structural relaxation. The functional is PBE-GGA.

Results
Energy of formation   0.16 eV per atom
DFT total energy   -4.225 eV/atom

```
data_BeInB
_chemical_formula_sum 'Be2 In2 B2'
_space_group_name_H-M_alt 'P 1'
_space_group_IT_number 1
_cell_length_a 3.036
_cell_length_b 3.688
_cell_length_c 8.409
_cell_angle_alpha 100.12
_cell_angle_beta 98.12
_cell_angle_gamma 90.13
loop_
_space_group_symop_operation_xyz
'x,y,z'
loop_
_atom_site_label
_atom_site_type_symbol
_atom_site_fract_x
_atom_site_fract_y
_atom_site_fract_z
_atom_site_occupancy
Be1 Be 0.000 0.000 0.000 1
Be2 Be 0.441 0.698 0.848 1
In1 In 0.569 0.042 0.277 1
In2 In 0.875 0.668 0.571 1
B1 B 0.470 0.244 0.921 1
B2 B 0.971 0.454 0.926 1
```